! FeIr2F | the Alexandria database | GGA+U | relaxed; values from VASP
&SYSTEM
  ibrav = 0, nat = 8, ntyp = 3
/
ATOMIC_SPECIES
Ir 192.22 Ir.upf
Fe 55.84 Fe.upf
F 19.00 F.upf
CELL_PARAMETERS angstrom
8.287 0.000 0.000
0.000 8.287 0.000
4.144 4.144 2.053
ATOMIC_POSITIONS angstrom
Ir 6.775 2.072 0.513
Ir 1.512 6.216 0.513
Ir 6.216 5.656 1.540
Ir 10.359 10.919 1.540
Fe 0.000 0.000 0.000
Fe 8.287 4.144 1.027
F 4.144 4.144 0.000
F 4.144 8.287 1.027
! Raw total energy   -48.2 eV/cell
! DOS(E_F)   0.96 states/eV/atom
! Calculated volume   17.629 Å³/atom